The following is a meta-GGA SCAN calculation of a PBEsol-optimized structure of Ag2PbAu, from the Alexandria database.

Geometry as CIF:
```
data_Ag2PbAu
_chemical_formula_sum 'Ag4 Pb2 Au2'
_cell_length_a 5.934
_cell_length_b 8.403
_cell_length_c 3.087
_cell_angle_alpha 90.00
_cell_angle_beta 90.00
_cell_angle_gamma 90.00
_space_group_name_H-M_alt 'C m m m'
_space_group_IT_number 65
_space_group_name_Hall '-C 2 2'
loop_
_atom_site_label
_atom_site_fract_x
_atom_site_fract_y
_atom_site_fract_z
Ag1 0.250 0.250 0.000
Pb1 0.000 0.000 0.500
Au1 0.000 0.500 0.500
```

- Uncorrected energy: -414.47 eV per cell
- Calculated formation energy: 0.110 eV per atom
- Total magnetic moment: 0.00 μB/f.u.